1.
The following is a PBE calculation of Rb2YMnBr6 after structural relaxation, from Alexandria via LeMat-Bulk.

Formation energy (no corrections) (eV/atom): -1.41
Energy (eV per atom): -4.171

Geometry as POSCAR:
```
Rb2YMnBr6
1.0
-3.292 5.603 -4.322
-6.542 -0.594 4.213
-3.010 6.324 3.445
Mn Br Rb Y
1 6 2 1
Cartesian
-4.917 2.504 -0.054 Mn
-8.861 6.958 1.678 Br
-3.984 4.374 1.659 Br
-5.712 0.988 2.034 Br
-4.122 4.020 -2.143 Br
-2.511 1.279 -0.028 Br
-7.324 3.730 -0.081 Br
-7.235 4.117 3.802 Rb
-5.610 7.215 -0.465 Rb
0.000 0.000 0.000 Y
```

---

2.
The following is a PBE calculation of RbYMnBr6 after structural relaxation, from Alexandria via LeMat-Bulk.

Formation energy (no corrections) (eV/atom): -1.23
Energy (eV per atom): -4.193

Geometry as POSCAR:
```
RbYMnBr6
1.0
-2.159 -0.079 6.551
-4.544 -0.736 -5.138
1.999 -15.625 0.471
Br Y Mn Rb
12 2 2 2
Cartesian
-1.326 -13.710 -2.736 Br
-3.378 -2.730 4.620 Br
-0.494 -10.491 -1.449 Br
-3.907 -2.902 1.149 Br
-1.723 -5.705 0.861 Br
-0.850 -5.491 4.260 Br
-0.657 -2.448 2.412 Br
-3.854 -10.949 -2.375 Br
-4.210 -5.948 3.333 Br
-4.046 -13.991 -0.527 Br
-2.981 -10.735 1.023 Br
-0.797 -13.538 0.735 Br
-1.454 -12.017 3.008 Y
-3.249 -4.423 -1.124 Y
-2.454 -4.204 2.773 Mn
-2.249 -12.236 -0.888 Mn
1.000 -7.812 0.236 Rb
0.000 0.000 0.000 Rb
```